(1)
Computed, not measured: an optimized crystal structure of HfAsI2O at the PBE-GGA level of DFT.

The structure in POSCAR format:
```
HfAsI2O
1.0
5.8089 0.0000 0.0000
0.0000 5.8089 0.0000
0.0000 0.0000 3.9299
As I Hf O
1 2 1 1
Direct
0.5000 0.5000 0.5000
0.0000 0.5000 0.0000
0.5000 0.0000 0.0000
0.0000 0.0000 0.0000
0.0000 0.0000 0.5000
```

SG	P4/mmm
polymorph energy (0 for the lowest one)	0.000	eV/atom
uncorrected energy	-5.20	eV per atom
crystal system	tetragonal
density	6.552	g cm⁻³
formation energy without anion corrections	-669	meV/atom

=====

(2)
Computed, not measured: an optimized crystal structure of Hf2CoRh at the PBE-GGA level of DFT.

The structure in POSCAR format:
```
Hf2CoRh
1.0
-2.7512 4.8819 -4.1033
1.6497 -3.7719 -5.5938
-3.1418 -0.7869 -4.7078
Hf Rh Co
4 2 2
Direct
0.6124 0.1250 0.2500
0.1376 0.6250 0.2500
0.3750 0.3876 0.7500
0.8750 0.8624 0.7500
0.0000 0.0000 0.0000
0.7500 0.2500 0.5000
0.5000 0.5000 0.0000
0.2500 0.7500 0.5000
```

SG	I-42d
uncorrected energy	-8.73	eV per atom
crystal system	tetragonal
density	12.227	g cm⁻³
energy relative to the elements	-0.14	eV per atom

=====

(3)
Computed, not measured: an optimized crystal structure of SbIBr at the PBE-GGA level of DFT.

The structure in POSCAR format:
```
SbIBr
1.0
-4.3118 -4.6218 -1.5473
1.4201 -4.6671 6.0033
-3.4120 2.7981 4.0390
I Br Sb
2 2 2
Direct
0.4268 0.8038 0.4706
0.0185 0.3881 0.5699
0.9064 0.8557 0.9544
0.5393 0.3355 0.0859
0.6274 0.2774 0.5225
0.8180 0.9143 0.5179
```

SG	P-1
polymorph energy (0 for the lowest one)	0.005	eV/atom
uncorrected energy	-2.79	eV per atom
crystal system	triclinic
density	3.719	g cm⁻³
formation energy without anion corrections	-345	meV/atom

=====

(4)
Computed, not measured: an optimized crystal structure of Zr2AuBr2 at the PBE-GGA level of DFT.

The structure in POSCAR format:
```
Zr2AuBr2
1.0
-3.8809 0.9601 2.7934
-2.3606 -3.7806 -1.9801
-1.3210 -4.3777 3.9269
Br Zr Au
2 2 1
Direct
0.6442 0.6442 0.7117
0.3558 0.3558 0.2883
0.7500 0.2500 0.5000
0.2500 0.7500 0.5000
0.0000 0.0000 0.0000
```

SG	I4/mmm
polymorph energy (0 for the lowest one)	0.000	eV/atom
uncorrected energy	-4.89	eV per atom
crystal system	tetragonal
density	7.615	g cm⁻³
formation energy without anion corrections	-144	meV/atom